The following is a PBE-GGA calculation of a relaxed structure of Sr2La2H, from the Alexandria database.

```
Sr2La2H
1.0
4.421 0.000 0.000
0.000 4.421 0.000
2.211 2.211 9.737
La H Sr
2 1 2
direct
0.578 0.578 0.844 La
0.422 0.422 0.156 La
0.000 0.000 0.000 H
0.250 0.750 0.500 Sr
0.750 0.250 0.500 Sr
```

Properties
Space group ... I4/mmm (139)
Energy above the lowest structure with this stoichiometry ... 673.7 meV/atom

The following is a PBE-GGA calculation of a relaxed structure of Gd3MgO, from the Alexandria database.

```
Gd3MgO
1.0
-1.340 2.059 4.239
-0.058 -4.414 2.126
4.712 0.532 1.231
O Mg Gd
1 1 3
direct
0.000 0.000 0.000 O
0.500 0.500 0.500 Mg
0.000 0.500 0.000 Gd
0.500 0.000 0.000 Gd
0.000 0.000 0.500 Gd
```

Properties
Formation energy from raw total energies ... -1174 meV per atom
Space group ... Pm-3m (221)

The following is a PBE-GGA calculation of a relaxed structure of PuBi3O6F2, from the Alexandria database.

```
PuBi3O6F2
1.0
4.903 0.000 0.458
0.000 6.864 0.000
-0.118 -3.432 6.074
Pu O Bi F
1 6 3 2
direct
0.500 0.000 0.000 Pu
0.288 0.158 0.317 O
0.723 0.833 0.147 O
0.277 0.686 0.853 O
0.723 0.314 0.147 O
0.277 0.167 0.853 O
0.712 0.842 0.683 O
0.500 0.000 0.500 Bi
0.500 0.500 0.500 Bi
0.000 0.500 0.000 Bi
0.777 0.329 0.657 F
0.223 0.671 0.343 F
```

Properties
Formation energy from raw total energies ... -1808 meV per atom
Space group ... C2/m (12)

The following is a PBE-GGA calculation of a relaxed structure of Ti4TcSn2, from the Alexandria database.

```
Ti4TcSn2
1.0
3.097 0.000 0.000
0.000 8.158 0.000
0.000 0.000 10.621
Sn Ti Tc
4 8 2
direct
0.500 0.428 0.635 Sn
0.500 0.572 0.365 Sn
0.500 0.072 0.135 Sn
0.500 0.928 0.865 Sn
0.000 0.636 0.804 Ti
0.000 0.136 0.696 Ti
0.500 0.212 0.404 Ti
0.500 0.288 0.904 Ti
0.000 0.364 0.196 Ti
0.000 0.864 0.304 Ti
0.500 0.788 0.596 Ti
0.500 0.712 0.096 Ti
0.000 0.000 0.500 Tc
0.000 0.500 0.000 Tc
```

Properties
Space group ... Pbam (55)
Formation energy from the elements ... -0.7 eV/f.u.

The following is a PBE-GGA calculation of a relaxed structure of SrHfGa, from the Alexandria database.

```
SrHfGa
1.0
4.668 0.000 0.000
-2.334 2.340 0.000
0.000 0.000 14.150
Sr Hf Ga
2 2 2
direct
0.695 0.389 0.332 Sr
0.695 0.389 0.668 Sr
0.194 0.388 0.879 Hf
0.194 0.388 0.121 Hf
0.694 0.388 0.000 Ga
0.195 0.390 0.500 Ga
```

Properties
Space group ... Cmmm (65)
Formation energy from the elements ... 0.1 eV/f.u.

The following is a PBE-GGA calculation of a relaxed structure of KCdPt2, from the Alexandria database.

```
KCdPt2
1.0
5.297 0.000 0.000
0.000 5.297 0.000
0.000 0.000 2.892
Pt K Cd
2 1 1
direct
0.000 0.000 0.000 Pt
0.500 0.500 0.000 Pt
0.000 0.500 0.500 K
0.500 0.000 0.500 Cd
```

Properties
Space group ... P4/mmm (123)
Formation energy from the elements ... 0.8 eV/f.u.
Energy above the lowest structure with this stoichiometry ... 401.1 meV/atom

The following is a PBE-GGA calculation of a relaxed structure of LaCo2Os, from the Alexandria database.

```
LaCo2Os
1.0
4.192 -0.003 0.000
2.098 3.629 0.000
2.094 1.207 4.978
La Co Os
1 2 1
direct
0.750 0.750 0.750 La
0.561 0.561 0.316 Co
0.939 0.939 0.184 Co
0.250 0.250 0.250 Os
```

Properties
Space group ... R-3m (166)
Formation energy from the elements ... -0.1 eV/f.u.
Energy above the lowest structure with this stoichiometry ... 0.0 meV/atom

The following is a PBE-GGA calculation of a relaxed structure of Mn4TlSe, from the Alexandria database.

```
Mn4TlSe
1.0
0.000 3.610 3.610
3.610 0.000 3.610
3.610 3.610 0.000
Mn Tl Se
4 1 1
direct
0.625 0.625 0.625 Mn
0.126 0.625 0.625 Mn
0.625 0.126 0.625 Mn
0.625 0.625 0.126 Mn
0.000 0.000 0.000 Tl
0.250 0.250 0.250 Se
```

Properties
Formation energy from raw total energies ... 580 meV per atom
Space group ... F-43m (216)

The following is a PBE-GGA calculation of a relaxed structure of YV2Co2, from the Alexandria database.

```
YV2Co2
1.0
-1.221 3.939 -0.250
-3.850 -1.131 0.987
-1.542 2.001 4.927
Y Co V
1 2 2
direct
0.000 0.000 0.000 Y
0.750 0.250 0.500 Co
0.250 0.750 0.500 Co
0.361 0.361 0.277 V
0.639 0.639 0.723 V
```

Properties
Space group ... I4/mmm (139)
Formation energy from the elements ... 0.4 eV/f.u.
Energy above the lowest structure with this stoichiometry ... 237.9 meV/atom

The following is a PBE-GGA calculation of a relaxed structure of K4RbI5, from the Alexandria database.

```
K4RbI5
1.0
5.005 0.000 -0.966
-0.373 6.959 -1.932
0.015 0.000 13.533
K I Rb
4 5 1
direct
0.798 0.798 0.596 K
0.601 0.601 0.201 K
0.399 0.399 0.799 K
0.202 0.202 0.404 K
0.199 0.699 0.399 I
0.000 0.500 0.000 I
0.801 0.301 0.601 I
0.604 0.104 0.209 I
0.396 0.896 0.791 I
0.000 0.000 0.000 Rb
```

Properties
Formation energy from raw total energies ... -1486 meV per atom
Space group ... Immm (71)

The following is a PBE-GGA calculation of a relaxed structure of Mg2ZnTePt, from the Alexandria database.

```
Mg2ZnTePt
1.0
5.071 0.000 0.000
0.000 4.809 0.000
0.000 0.000 5.071
Mg Zn Pt Te
2 1 1 1
direct
0.000 0.000 0.500 Mg
0.500 0.000 0.000 Mg
0.000 0.500 0.000 Zn
0.000 0.000 0.000 Pt
0.500 0.500 0.500 Te
```

Properties
Formation energy from raw total energies ... -309 meV per atom
Space group ... P4/mmm (123)

The following is a PBE-GGA calculation of a relaxed structure of Ac3RhN, from the Alexandria database.

```
Ac3RhN
1.0
-2.557 2.874 3.522
-4.367 -0.429 -2.820
-1.264 -4.331 2.617
Ac Rh N
3 1 1
direct
0.500 0.000 0.000 Ac
0.000 0.500 0.000 Ac
0.000 0.000 0.500 Ac
0.500 0.500 0.500 Rh
0.000 0.000 0.000 N
```

Properties
Formation energy from raw total energies ... -429 meV per atom
Space group ... Pm-3m (221)
Energy above the lowest structure with this stoichiometry ... 286.1 meV/atom

The following is a PBE-GGA calculation of a relaxed structure of Mg6NbAl, from the Alexandria database.

```
Mg6NbAl
1.0
2.989 -5.464 0.000
2.989 5.464 0.000
0.000 0.000 4.992
Mg Nb Al
6 1 1
direct
0.175 0.340 0.000 Mg
0.328 0.171 0.500 Mg
0.829 0.672 0.500 Mg
0.660 0.825 0.000 Mg
0.676 0.324 0.000 Mg
0.175 0.825 0.000 Mg
0.327 0.673 0.500 Nb
0.831 0.169 0.500 Al
```

Properties
Space group ... Amm2 (38)
Formation energy from the elements ... 0.8 eV/f.u.

The following is a PBE-GGA calculation of a relaxed structure of ErMgAlIn, from the Alexandria database.

```
ErMgAlIn
1.0
4.403 0.000 0.000
0.000 4.434 0.000
0.000 0.000 4.544
Er Al In Mg
1 1 1 1
direct
0.000 0.500 0.500 Er
0.500 0.000 0.500 Al
0.500 0.500 0.000 In
0.000 0.000 0.000 Mg
```

Properties
Space group ... Pmmm (47)
Formation energy from the elements ... -1.3 eV/f.u.
Energy above the lowest structure with this stoichiometry ... 0.0 meV/atom

The following is a PBE-GGA calculation of a relaxed structure of NdYZnPd, from the Alexandria database.

```
NdYZnPd
1.0
3.620 0.000 0.000
0.000 3.620 0.000
0.000 0.000 7.132
Y Pd Zn Nd
1 1 1 1
direct
0.000 0.000 0.351 Y
0.500 0.500 0.125 Pd
0.500 0.500 0.591 Zn
0.000 0.000 0.861 Nd
```

Properties
Space group ... P4mm (99)
Formation energy from the elements ... -2.3 eV/f.u.
Energy above the lowest structure with this stoichiometry ... 0.0 meV/atom

The following is a PBE-GGA calculation of a relaxed structure of Sr2AlCdPd6, from the Alexandria database.

```
Sr2AlCdPd6
1.0
6.593 -0.311 -0.907
-0.572 6.890 1.255
2.214 4.112 5.259
Pd Sr Cd Al
6 2 1 1
direct
0.228 0.746 0.015 Pd
0.767 0.747 0.485 Pd
0.413 0.240 0.842 Pd
0.772 0.254 0.985 Pd
0.233 0.253 0.515 Pd
0.587 0.760 0.158 Pd
0.773 0.244 0.471 Sr
0.227 0.757 0.529 Sr
0.500 0.500 0.000 Cd
0.000 0.000 0.000 Al
```

Properties
Space group ... P-1 (2)
Formation energy from the elements ... -5.3 eV/f.u.

The following is a PBE-GGA calculation of a relaxed structure of HfSi2SbC, from the Alexandria database.

```
HfSi2SbC
1.0
-2.084 0.676 4.506
3.688 -3.301 2.202
3.020 3.915 0.810
Si Hf Sb C
2 1 1 1
direct
0.500 0.000 0.000 Si
0.000 0.000 0.500 Si
0.000 0.500 0.000 Hf
0.000 0.000 0.000 Sb
0.500 0.500 0.500 C
```

Properties
Formation energy from raw total energies ... 2539 meV per atom
Space group ... P4/mmm (123)

The following is a PBE-GGA calculation of a relaxed structure of FeTc, from the Alexandria database.

```
FeTc
1.0
8.557 0.000 0.000
0.000 8.557 0.000
0.000 0.000 2.977
Fe Tc
8 8
direct
0.500 0.161 0.500 Fe
0.000 0.661 0.000 Fe
0.339 0.000 0.000 Fe
0.839 0.500 0.500 Fe
0.500 0.839 0.500 Fe
0.661 0.000 0.000 Fe
0.000 0.339 0.000 Fe
0.161 0.500 0.500 Fe
0.840 0.840 0.500 Tc
0.340 0.660 0.000 Tc
0.660 0.660 0.000 Tc
0.840 0.160 0.500 Tc
0.160 0.160 0.500 Tc
0.160 0.840 0.500 Tc
0.660 0.340 0.000 Tc
0.340 0.340 0.000 Tc
```

Properties
Space group ... I4/mmm (139)
Formation energy from the elements ... 0.4 eV/f.u.

The following is a PBE-GGA calculation of a relaxed structure of PmSnPt, from the Alexandria database.

```
PmSnPt
1.0
4.783 0.000 0.000
2.392 4.143 0.000
2.392 1.381 3.906
Pm Pt Sn
1 1 1
direct
0.500 0.500 0.500 Pm
0.250 0.250 0.250 Pt
0.000 0.000 0.000 Sn
```

Properties
Space group ... F-43m (216)
Formation energy from the elements ... -2.9 eV/f.u.
Energy above the lowest structure with this stoichiometry ... 71.8 meV/atom

The following is a PBE-GGA calculation of a relaxed structure of Ca2SeO, from the Alexandria database.

```
Ca2SeO
1.0
3.709 0.000 0.000
1.854 3.212 0.000
1.854 1.071 6.743
Ca Se O
2 1 1
direct
0.094 0.094 0.716 Ca
0.240 0.240 0.279 Ca
0.667 0.667 0.998 Se
0.498 0.498 0.506 O
```

Properties
Formation energy from raw total energies ... -2123 meV per atom
Space group ... R3m (160)
Energy above the lowest structure with this stoichiometry ... 305.0 meV/atom

| no. | E (Ha/atom) | total magnetic moment (Bohr magnetons per cell) |
| --- | --- | --- |
| 1 | -0.0916 | 0.0 |
| 2 | -0.4018 | 21.8 |
| 3 | -0.2485 | 3.0 |
| 4 | -0.2662 | 0.0 |
| 5 | -0.1780 | 0.0 |
| 6 | -0.1226 | 0.0 |
| 7 | -0.2800 | 2.5 |
| 8 | -0.2392 | 10.6 |
| 9 | -0.2831 | 0.0 |
| 10 | -0.1028 | 0.0 |
| 11 | -0.1117 | 0.0 |
| 12 | -0.2216 | 0.0 |
| 13 | -0.1037 | 0.0 |
| 14 | -0.1285 | 0.0 |
| 15 | -0.1837 | 0.0 |
| 16 | -0.1636 | 0.0 |
| 17 | -0.1576 | 0.3 |
| 18 | -0.3382 | 17.9 |
| 19 | -0.2167 | 0.0 |
| 20 | -0.1923 | 0.0 |